1.
{
  "formula": "SrNb2GeO8",
  "functional": "PBE",
  "state": "relaxed",
  "cell": [[4.1038, -2.8774, 0.0000], [4.1038, 2.8774, 0.0000], [-0.4892, 0.0000, 7.0964]],
  "species": ["Sr", "Nb", "Nb", "Ge", "O", "O", "O", "O", "O", "O", "O", "O"],
  "frac_coords": [[0.0000, 0.0000, 0.0000], [0.3790, 0.3790, 0.7141], [0.6210, 0.6210, 0.2859], [0.0000, 0.0000, 0.5000], [0.2194, 0.7644, 0.3030], [0.2255, 0.2255, 0.5078], [0.2356, 0.7806, 0.6970], [0.3052, 0.3052, 0.9485], [0.6948, 0.6948, 0.0515], [0.7644, 0.2194, 0.3030], [0.7745, 0.7745, 0.4922], [0.7806, 0.2356, 0.6970]],
  "sg": "C2/m",
  "final_energy_ev_per_cell": -94.4,
  "crystal_system": "monoclinic"
}

***

2.
{
  "formula": "DyHgBi",
  "functional": "PBE",
  "state": "relaxed",
  "cell": [[0.0000, 3.6862, 3.6862], [3.6862, 0.0000, 3.6862], [3.6862, 3.6862, 0.0000]],
  "species": ["Dy", "Hg", "Bi"],
  "frac_coords": [[0.0000, 0.0000, 0.0000], [0.5000, 0.5000, 0.5000], [0.2500, 0.2500, 0.2500]],
  "sg": "F-43m",
  "final_energy_ev_per_cell": -9.2,
  "crystal_system": "cubic",
  "polymorph_energy_kj_per_mol_atoms": 31.5
}

***

3.
{
  "formula": "ZrB",
  "functional": "PBE",
  "state": "relaxed",
  "cell": [[5.5297, 0.0000, 0.0000], [0.0000, 4.9982, 0.0000], [-0.5332, 0.0000, 6.3892]],
  "species": ["Zr", "Zr", "Zr", "Zr", "Zr", "Zr", "B", "B", "B", "B", "B", "B"],
  "frac_coords": [[0.1543, 0.2500, 0.1654], [0.1827, 0.2500, 0.6399], [0.3452, 0.7500, 0.9875], [0.6548, 0.2500, 0.0125], [0.8173, 0.7500, 0.3601], [0.8457, 0.7500, 0.8346], [0.1764, 0.7500, 0.6226], [0.2919, 0.7500, 0.3871], [0.4777, 0.7500, 0.6178], [0.5223, 0.2500, 0.3822], [0.7081, 0.2500, 0.6129], [0.8236, 0.2500, 0.3774]],
  "sg": "P2_1/m",
  "final_energy_ev_per_cell": -92.9,
  "crystal_system": "monoclinic"
}

***

4.
{
  "formula": "SmGa2PdPt",
  "functional": "PBE",
  "state": "relaxed",
  "cell": [[4.3426, 0.0000, 0.0000], [0.0000, 4.3426, 0.0000], [0.0000, 0.0000, 10.1785]],
  "species": ["Sm", "Sm", "Ga", "Ga", "Ga", "Ga", "Pd", "Pd", "Pt", "Pt"],
  "frac_coords": [[0.2500, 0.2500, 0.2478], [0.7500, 0.7500, 0.7522], [0.2500, 0.2500, 0.6272], [0.2500, 0.7500, 0.0000], [0.7500, 0.2500, 0.0000], [0.7500, 0.7500, 0.3728], [0.2500, 0.7500, 0.5000], [0.7500, 0.2500, 0.5000], [0.2500, 0.2500, 0.8681], [0.7500, 0.7500, 0.1319]],
  "sg": "P4/nmm",
  "final_energy_ev_per_cell": -53.1,
  "crystal_system": "tetragonal",
  "polymorph_energy_kj_per_mol_atoms": 0.0
}

***

5.
{
  "formula": "Hf2Tc",
  "functional": "PBE",
  "state": "relaxed",
  "cell": [[1.6587, -7.1928, 0.0000], [1.6587, 7.1928, 0.0000], [0.0000, 0.0000, 4.7918]],
  "species": ["Hf", "Hf", "Hf", "Hf", "Tc", "Tc"],
  "frac_coords": [[0.0763, 0.9237, 0.7500], [0.2265, 0.7735, 0.2500], [0.7735, 0.2265, 0.7500], [0.9237, 0.0763, 0.2500], [0.4203, 0.5797, 0.7500], [0.5797, 0.4203, 0.2500]],
  "sg": "Cmcm",
  "final_energy_ev_per_cell": -62.7,
  "crystal_system": "orthorhombic",
  "polymorph_energy_kj_per_mol_atoms": 0.0
}

***

6.
{
  "formula": "BiOsPbO5",
  "functional": "PBE",
  "state": "relaxed",
  "cell": [[6.4442, -2.7323, 0.0000], [6.4442, 2.7323, 0.0000], [-3.0076, 0.0000, 7.0427]],
  "species": ["Bi", "Bi", "Os", "Os", "Pb", "Pb", "O", "O", "O", "O", "O", "O", "O", "O", "O", "O"],
  "frac_coords": [[0.0048, 0.0048, 0.2712], [0.9952, 0.9952, 0.7288], [0.3633, 0.3633, 0.8673], [0.6367, 0.6367, 0.1327], [0.3302, 0.3302, 0.3770], [0.6698, 0.6698, 0.6230], [0.1205, 0.5725, 0.6614], [0.2246, 0.2246, 0.8636], [0.2341, 0.7659, 0.5000], [0.4275, 0.8795, 0.3386], [0.4573, 0.4573, 0.1189], [0.5427, 0.5427, 0.8811], [0.5725, 0.1205, 0.6614], [0.7659, 0.2341, 0.5000], [0.7754, 0.7754, 0.1364], [0.8795, 0.4275, 0.3386]],
  "sg": "C2/m",
  "final_energy_ev_per_cell": -102.7,
  "crystal_system": "monoclinic"
}

***

7.
{
  "formula": "LuBeCoGe",
  "functional": "PBE",
  "state": "relaxed",
  "cell": [[0.0000, 3.0746, 3.0746], [3.0746, 0.0000, 3.0746], [3.0746, 3.0746, 0.0000]],
  "species": ["Lu", "Be", "Co", "Ge"],
  "frac_coords": [[0.0000, 0.0000, 0.0000], [0.7500, 0.7500, 0.7500], [0.5000, 0.5000, 0.5000], [0.2500, 0.2500, 0.2500]],
  "sg": "F-43m",
  "final_energy_ev_per_cell": -20.5,
  "crystal_system": "cubic",
  "polymorph_energy_kj_per_mol_atoms": 3.0
}

***

8.
{
  "formula": "LiBPtPb",
  "functional": "PBE",
  "state": "relaxed",
  "cell": [[0.0000, 3.1589, 3.1589], [3.1589, 0.0000, 3.1589], [3.1589, 3.1589, 0.0000]],
  "species": ["Li", "B", "Pt", "Pb"],
  "frac_coords": [[0.0000, 0.0000, 0.0000], [0.2500, 0.2500, 0.2500], [0.5000, 0.5000, 0.5000], [0.7500, 0.7500, 0.7500]],
  "sg": "F-43m",
  "final_energy_ev_per_cell": -16.4,
  "crystal_system": "cubic",
  "polymorph_energy_kj_per_mol_atoms": 0.5
}

***

9.
{
  "formula": "Sr2NiIr",
  "functional": "PBE",
  "state": "relaxed",
  "cell": [[2.1093, 1.2178, 8.0118], [-2.1093, 1.2178, 8.0118], [0.0000, -2.4357, 8.0118]],
  "species": ["Sr", "Sr", "Ni", "Ir"],
  "frac_coords": [[0.0000, 0.0000, 0.0000], [0.1642, 0.1642, 0.1642], [0.4154, 0.4154, 0.4154], [0.7488, 0.7488, 0.7488]],
  "sg": "R3m",
  "final_energy_ev_per_cell": -18.6,
  "crystal_system": "trigonal"
}

***

10.
{
  "formula": "HfAl2Tl",
  "functional": "PBE",
  "state": "relaxed",
  "cell": [[0.0000, 3.4667, 3.4667], [3.4667, 0.0000, 3.4667], [3.4667, 3.4667, 0.0000]],
  "species": ["Hf", "Al", "Al", "Tl"],
  "frac_coords": [[0.0000, 0.0000, 0.0000], [0.2500, 0.2500, 0.2500], [0.5000, 0.5000, 0.5000], [0.7500, 0.7500, 0.7500]],
  "sg": "F-43m",
  "final_energy_ev_per_cell": -18.4,
  "crystal_system": "cubic"
}

***

11.
{
  "formula": "Lu4Bi3Mo2N3",
  "functional": "PBE",
  "state": "relaxed",
  "cell": [[5.2631, -3.0277, 0.0000], [5.2631, 3.0277, 0.0000], [-3.2844, 0.0000, 13.9494]],
  "species": ["Lu", "Lu", "Lu", "Lu", "Lu", "Lu", "Lu", "Lu", "Bi", "Bi", "Bi", "Bi", "Bi", "Bi", "Mo", "Mo", "Mo", "Mo", "N", "N", "N", "N", "N", "N"],
  "frac_coords": [[0.0129, 0.2064, 0.0832], [0.1538, 0.3036, 0.4170], [0.2064, 0.0129, 0.5832], [0.3036, 0.1538, 0.9170], [0.6964, 0.8462, 0.0830], [0.7936, 0.9871, 0.4168], [0.8462, 0.6964, 0.5830], [0.9871, 0.7936, 0.9168], [0.1055, 0.8945, 0.2500], [0.2726, 0.4149, 0.7463], [0.4149, 0.2726, 0.2463], [0.5851, 0.7274, 0.7537], [0.7274, 0.5851, 0.2537], [0.8945, 0.1055, 0.7500], [0.3887, 0.5219, 0.0688], [0.4781, 0.6113, 0.4312], [0.5219, 0.3887, 0.5688], [0.6113, 0.4781, 0.9312], [0.0000, 0.5000, 0.0000], [0.1445, 0.6767, 0.4996], [0.3233, 0.8555, 0.0004], [0.5000, 0.0000, 0.5000], [0.6767, 0.1445, 0.9996], [0.8555, 0.3233, 0.5004]],
  "sg": "C2/c",
  "final_energy_ev_per_cell": -170.3,
  "crystal_system": "monoclinic"
}

***

12.
{
  "formula": "Mo3PtC",
  "functional": "PBE",
  "state": "relaxed",
  "cell": [[4.1331, 0.0000, 0.0000], [0.0000, 4.1331, 0.0000], [0.0000, 0.0000, 4.1331]],
  "species": ["Mo", "Mo", "Mo", "Pt", "C"],
  "frac_coords": [[0.0000, 0.0000, 0.5000], [0.0000, 0.5000, 0.0000], [0.5000, 0.0000, 0.0000], [0.5000, 0.5000, 0.5000], [0.0000, 0.0000, 0.0000]],
  "sg": "Pm-3m",
  "final_energy_ev_per_cell": -48.0,
  "crystal_system": "cubic"
}